1.
Density functional theory data (PBE-GGA) for an optimized crystal structure of Li4In2Sn2Hg.

Results
DFT formation energy = -0.149 eV per atom
Fermi-level density of states = 4.23 states/eV per cell
spin magnetization = 0.00 μB per cell

a = 6.617 Å, b = 6.617 Å, c = 6.617 Å
α = 87.94°, β = 121.20°, γ = 121.20°
Fractional coordinates of all 9 atoms:
Sn  0.500  0.750  0.250
Sn  0.500  0.250  0.750
Li  0.561  0.280  0.280
Li  0.000  0.720  0.280
Li  0.439  0.720  0.720
Li  0.000  0.280  0.720
In  0.000  0.712  0.712
In  0.000  0.288  0.288
Hg  0.000  0.000  0.000

---

2.
Density functional theory data (PBE-GGA) for an optimized crystal structure of Co2RuCl.

Results
energy relative to the lowest polymorph listed for this composition = 506 meV/atom
ΔE_f (raw) = 3.43 eV per formula unit
Fermi-level density of states = 6.11 states/eV per cell
spin magnetization = 3.95 μB per cell

a = 4.201 Å, b = 4.201 Å, c = 4.201 Å
α = 60.00°, β = 60.00°, γ = 60.00°
Fractional coordinates of all 4 atoms:
Cl  0.500  0.500  0.500
Co  0.250  0.250  0.250
Co  0.000  0.000  0.000
Ru  0.750  0.750  0.750

---

3.
Density functional theory data (PBE-GGA) for an optimized crystal structure of BeIrRu.

Results
energy relative to the lowest polymorph listed for this composition = 165 meV/atom
DFT formation energy = -0.102 eV per atom
Fermi-level density of states = 2.26 states/eV per cell
spin magnetization = 0.00 μB per cell

a = 4.466 Å, b = 4.466 Å, c = 4.466 Å
α = 144.47°, β = 132.13°, γ = 61.01°
Fractional coordinates of all 3 atoms:
Ru  0.665  0.665  0.000
Be  0.999  0.999  0.000
Ir  0.337  0.337  0.000

---

4.
Density functional theory data (PBE-GGA) for an optimized crystal structure of ScTaMo2.

Results
energy relative to the lowest polymorph listed for this composition = 93 meV/atom
DFT formation energy = 0.104 eV per atom
Fermi-level density of states = 4.00 states/eV per cell
spin magnetization = 0.00 μB per cell

a = 5.361 Å, b = 5.361 Å, c = 5.361 Å
α = 144.82°, β = 126.91°, γ = 65.30°
Fractional coordinates of all 4 atoms:
Mo  0.009  0.009  0.000
Mo  0.491  0.491  0.000
Sc  0.750  0.250  0.500
Ta  0.250  0.750  0.500

---

5.
Density functional theory data (PBE-GGA) for an optimized crystal structure of La2VGaAg.

Results
DFT formation energy = 0.762 eV per atom
Fermi-level density of states = 12.17 states/eV per cell
spin magnetization = 0.66 μB per cell

a = 5.745 Å, b = 4.708 Å, c = 5.745 Å
α = 90.00°, β = 90.00°, γ = 90.00°
Fractional coordinates of all 5 atoms:
Ag  0.000  0.000  0.000
V  0.500  0.500  0.500
La  0.000  0.000  0.500
La  0.500  0.000  0.000
Ga  0.000  0.500  0.000

---

6.
Density functional theory data (PBE-GGA) for an optimized crystal structure of Er2TmTe4.

Results
energy relative to the lowest polymorph listed for this composition = 57 meV/atom
ΔE_f (raw) = -9.03 eV per formula unit
Fermi-level density of states = 6.04 states/eV per cell
spin magnetization = 0.01 μB per cell

a = 4.194 Å, b = 7.403 Å, c = 14.834 Å
α = 90.00°, β = 90.00°, γ = 106.46°
Fractional coordinates of all 14 atoms:
Er  0.131  0.262  0.070
Er  0.869  0.738  0.570
Er  0.869  0.738  0.930
Er  0.131  0.262  0.430
Tm  0.371  0.742  0.250
Tm  0.629  0.258  0.750
Te  0.029  0.057  0.250
Te  0.779  0.559  0.122
Te  0.500  0.000  0.000
Te  0.779  0.559  0.378
Te  0.500  0.000  0.500
Te  0.221  0.441  0.878
Te  0.221  0.441  0.622
Te  0.971  0.943  0.750

---

7.
Density functional theory data (PBE-GGA) for an optimized crystal structure of Zn3CoP.

Results
energy relative to the lowest polymorph listed for this composition = 0 meV/atom
DFT formation energy = 0.723 eV per atom
Fermi-level density of states = 7.12 states/eV per cell
spin magnetization = 0.33 μB per cell

a = 4.514 Å, b = 4.514 Å, c = 4.514 Å
α = 90.00°, β = 90.00°, γ = 90.00°
Fractional coordinates of all 5 atoms:
Co  0.000  0.000  0.000
Zn  0.000  0.500  0.000
Zn  0.500  0.000  0.000
Zn  0.000  0.000  0.500
P  0.500  0.500  0.500

---

8.
Density functional theory data (PBE-GGA) for an optimized crystal structure of CuAgC3.

Results
energy relative to the lowest polymorph listed for this composition = 0 meV/atom
DFT formation energy = 2.727 eV per atom
Fermi-level density of states = 2.11 states/eV per cell
spin magnetization = 0.00 μB per cell

a = 3.892 Å, b = 3.892 Å, c = 3.892 Å
α = 90.00°, β = 90.00°, γ = 90.00°
Fractional coordinates of all 5 atoms:
Ag  0.500  0.500  0.500
C  0.000  0.000  0.500
C  0.500  0.000  0.000
C  0.000  0.500  0.000
Cu  0.000  0.000  0.000

---

9.
Density functional theory data (PBE-GGA) for an optimized crystal structure of LiSe.

Results
energy relative to the lowest polymorph listed for this composition = 387 meV/atom
ΔE_f (raw) = -1.05 eV per formula unit
Fermi-level density of states = 9.91 states/eV per cell
spin magnetization = 0.00 μB per cell

a = 10.005 Å, b = 10.005 Å, c = 4.344 Å
α = 90.00°, β = 90.00°, γ = 90.00°
Fractional coordinates of all 16 atoms:
Li  0.291  0.437  0.500
Li  0.653  0.937  0.000
Li  0.563  0.291  0.500
Li  0.937  0.347  0.000
Li  0.347  0.063  0.000
Li  0.437  0.709  0.500
Li  0.063  0.653  0.000
Li  0.709  0.563  0.500
Se  0.186  0.397  0.000
Se  0.397  0.814  0.000
Se  0.203  0.661  0.500
Se  0.603  0.186  0.000
Se  0.814  0.603  0.000
Se  0.797  0.339  0.500
Se  0.339  0.203  0.500
Se  0.661  0.797  0.500

---

10.
Density functional theory data (PBE-GGA) for an optimized crystal structure of YTlSb3.

Results
energy relative to the lowest polymorph listed for this composition = 0 meV/atom
ΔE_f (raw) = 0.70 eV per formula unit
Fermi-level density of states = 4.43 states/eV per cell
spin magnetization = 0.00 μB per cell

a = 5.821 Å, b = 5.821 Å, c = 5.821 Å
α = 90.00°, β = 90.00°, γ = 90.00°
Fractional coordinates of all 5 atoms:
Sb  0.500  0.000  0.000
Sb  0.000  0.000  0.500
Sb  0.000  0.500  0.000
Tl  0.500  0.500  0.500
Y  0.000  0.000  0.000

---

11.
Density functional theory data (PBE-GGA) for an optimized crystal structure of CaBiPd.

Results
DFT formation energy = -0.621 eV per atom
Fermi-level density of states = 3.57 states/eV per cell
spin magnetization = 0.00 μB per cell

a = 4.890 Å, b = 4.890 Å, c = 6.676 Å
α = 90.00°, β = 90.00°, γ = 90.00°
Fractional coordinates of all 6 atoms:
Pd  0.772  0.599  0.986
Pd  0.772  0.599  0.486
Bi  0.772  0.099  0.236
Bi  0.272  0.599  0.736
Ca  0.773  0.099  0.736
Ca  0.272  0.599  0.236

---

12.
Density functional theory data (PBE-GGA) for an optimized crystal structure of CePmSiAu.

Results
ΔE_f (raw) = -2.23 eV per formula unit
Fermi-level density of states = 9.05 states/eV per cell
spin magnetization = 1.85 μB per cell

a = 5.185 Å, b = 5.185 Å, c = 5.185 Å
α = 60.00°, β = 60.00°, γ = 60.00°
Fractional coordinates of all 4 atoms:
Ce  0.000  0.000  0.000
Si  0.250  0.250  0.250
Au  0.750  0.750  0.750
Pm  0.500  0.500  0.500